Record 1
# PBE SiSb8, relaxed
# - E_form (uncorrected): 266 meV per atom
# - Fermi-level density of states: 5.53 states/eV/cell
data_SiSb8
_cell_length_a 11.720
_cell_length_b 11.720
_cell_length_c 3.731
_cell_angle_alpha 90.00
_cell_angle_beta 90.00
_cell_angle_gamma 90.00
_symmetry_space_group_name_H-M 'I 4/m m m'
_symmetry_Int_Tables_number 139
_symmetry_space_group_name_Hall '-I 4 2'
loop_
_atom_site_label
_atom_site_type_symbol
_atom_site_fract_x
_atom_site_fract_y
_atom_site_fract_z
Si1 Si 0.000 0.000 0.000
Sb1 Sb 0.000 0.348 0.000
Sb2 Sb 0.133 0.133 0.500

=====

Record 2
# PBE Mn3CuPd, relaxed
# - Offset from the most stable computed form: 0.0 meV per atom
# - Formation energy: 1.057 eV per atom
# - Fermi-level density of states: 2.89 states/eV/cell
data_Mn3CuPd
_cell_length_a 4.812
_cell_length_b 4.812
_cell_length_c 4.812
_cell_angle_alpha 90.00
_cell_angle_beta 90.00
_cell_angle_gamma 90.00
_symmetry_space_group_name_H-M 'P m -3 m'
_symmetry_Int_Tables_number 221
_symmetry_space_group_name_Hall '-P 4 2 3'
loop_
_atom_site_label
_atom_site_type_symbol
_atom_site_fract_x
_atom_site_fract_y
_atom_site_fract_z
Mn1 Mn 0.000 0.000 0.500
Cu1 Cu 0.500 0.500 0.500
Pd1 Pd 0.000 0.000 0.000

=====

Record 3
# PBE MgSi3Cl, relaxed
# - Offset from the most stable computed form: 126.5 meV per atom
# - E_form (uncorrected): 1104 meV per atom
# - Fermi-level density of states: 6.19 states/eV/cell
data_MgSi3Cl
_cell_length_a 5.030
_cell_length_b 5.030
_cell_length_c 5.030
_cell_angle_alpha 90.00
_cell_angle_beta 90.00
_cell_angle_gamma 90.00
_symmetry_space_group_name_H-M 'P m -3 m'
_symmetry_Int_Tables_number 221
_symmetry_space_group_name_Hall '-P 4 2 3'
loop_
_atom_site_label
_atom_site_type_symbol
_atom_site_fract_x
_atom_site_fract_y
_atom_site_fract_z
Mg1 Mg 0.000 0.000 0.000
Si1 Si 0.000 0.000 0.500
Cl1 Cl 0.500 0.500 0.500

=====

Record 4
# PBE YTe2Rh, relaxed
# - Offset from the most stable computed form: 301.3 meV per atom
# - E_form (uncorrected): -510 meV per atom
# - Fermi-level density of states: 16.77 states/eV/cell
data_YTe2Rh
_cell_length_a 7.184
_cell_length_b 7.184
_cell_length_c 7.184
_cell_angle_alpha 90.00
_cell_angle_beta 90.00
_cell_angle_gamma 90.00
_symmetry_space_group_name_H-M 'F m -3 m'
_symmetry_Int_Tables_number 225
_symmetry_space_group_name_Hall '-F 4 2 3'
loop_
_atom_site_label
_atom_site_type_symbol
_atom_site_fract_x
_atom_site_fract_y
_atom_site_fract_z
Y1 Y 0.000 0.000 0.000
Te1 Te 0.250 0.250 0.250
Rh1 Rh 0.000 0.000 0.500

=====

Among the records above, which one has the highest Fermi-level density of states? YTe2Rh

=====

What is the formula in the first record? SiSb8

=====

Which value of Fermi-level density of states does entry 1 give? 5.53 states/eV/cell

=====

Look up the Fermi-level density of states of the third one. 6.19 states/eV/cell